! LaInAg2Cl (PBE, optimized geometry); values from VASP
! **DFT total energy**: -3.069 eV per atom
! **Theoretical density**: 4.5 g cm⁻³
! **Uncorrected formation energy**: -26 meV/atom
! **Space-group type**: No. 123
&SYSTEM
  ibrav = 0, nat = 5, ntyp = 4
/
ATOMIC_SPECIES
Ag 107.87 Ag.upf
In 114.82 In.upf
Cl 35.45 Cl.upf
La 138.91 La.upf
CELL_PARAMETERS angstrom
-3.1568 -2.1126 -4.5162
4.5321 -0.6208 -2.8775
0.6061 -5.4683 2.1344
ATOMIC_POSITIONS crystal
Ag 0.0000 0.0000 0.5000
Ag 0.5000 0.0000 0.0000
In 0.5000 0.5000 0.5000
Cl 0.0000 0.5000 0.0000
La 0.0000 0.0000 0.0000



! LiInAgCl5 (PBE, optimized geometry); values from VASP
! **DFT total energy**: -3.140 eV per atom
! **Theoretical density**: 2.8 g cm⁻³
! **Uncorrected formation energy**: -1048 meV/atom
! **Space-group type**: No. 15
&SYSTEM
  ibrav = 0, nat = 16, ntyp = 4
/
ATOMIC_SPECIES
Cl 35.45 Cl.upf
In 114.82 In.upf
Li 6.94 Li.upf
Ag 107.87 Ag.upf
CELL_PARAMETERS angstrom
7.4097 1.1920 0.1603
-1.0230 7.4350 0.1603
-2.4779 -3.3471 8.3042
ATOMIC_POSITIONS crystal
Cl 0.3350 0.3514 0.5687
Cl 0.0959 0.6742 0.8666
Cl 0.6650 0.6486 0.4313
Cl 0.6742 0.0959 0.3666
Cl 0.3514 0.3350 0.0687
Cl 0.6486 0.6650 0.9313
Cl 0.9173 0.0827 0.7500
Cl 0.3258 0.9041 0.6334
Cl 0.9041 0.3258 0.1334
Cl 0.0827 0.9173 0.2500
In 0.6598 0.3402 0.2500
In 0.3402 0.6598 0.7500
Li 0.0000 0.0000 0.0000
Li 0.0000 0.0000 0.5000
Ag 0.6828 0.3172 0.7500
Ag 0.3172 0.6828 0.2500



! MgInAgCl6 (PBE, optimized geometry); values from VASP
! **DFT total energy**: -3.222 eV per atom
! **Theoretical density**: 3.4 g cm⁻³
! **Uncorrected formation energy**: -1192 meV/atom
! **Space-group type**: No. 163
&SYSTEM
  ibrav = 0, nat = 18, ntyp = 4
/
ATOMIC_SPECIES
Cl 35.45 Cl.upf
Mg 24.30 Mg.upf
Ag 107.87 Ag.upf
In 114.82 In.upf
CELL_PARAMETERS angstrom
6.5000 0.0000 0.0000
-3.2500 5.6292 0.0000
0.0000 0.0000 12.2206
ATOMIC_POSITIONS crystal
Cl 0.0037 0.3573 0.1327
Cl 0.6427 0.9963 0.3673
Cl 0.3536 0.9963 0.1327
Cl 0.6464 0.6427 0.6327
Cl 0.3573 0.0037 0.6327
Cl 0.9963 0.6427 0.8673
Cl 0.3573 0.3536 0.8673
Cl 0.6427 0.6464 0.1327
Cl 0.3536 0.3573 0.3673
Cl 0.0037 0.6464 0.3673
Cl 0.6464 0.0037 0.8673
Cl 0.9963 0.3536 0.6327
Mg 0.6667 0.3333 0.7500
Mg 0.3333 0.6667 0.2500
Ag 0.0000 0.0000 0.5000
Ag 0.0000 0.0000 0.0000
In 0.3333 0.6667 0.7500
In 0.6667 0.3333 0.2500



! MnInAgCl4 (PBE, optimized geometry); values from VASP
! **DFT total energy**: -3.968 eV per atom
! **Theoretical density**: 3.5 g cm⁻³
! **Uncorrected formation energy**: -804 meV/atom
! **Space-group type**: No. 11
&SYSTEM
  ibrav = 0, nat = 14, ntyp = 4
/
ATOMIC_SPECIES
In 114.82 In.upf
Cl 35.45 Cl.upf
Ag 107.87 Ag.upf
Mn 54.94 Mn.upf
CELL_PARAMETERS angstrom
-3.0771 5.5661 -1.3729
-5.8771 -3.8210 -2.3189
-2.1740 -1.5684 8.0943
ATOMIC_POSITIONS crystal
In 0.7539 0.7500 0.9599
In 0.2461 0.2500 0.0401
Cl 0.0198 0.0115 0.7183
Cl 0.9802 0.5115 0.2817
Cl 0.0198 0.4885 0.7183
Cl 0.5106 0.2500 0.4329
Cl 0.9802 0.9885 0.2817
Cl 0.6322 0.2500 0.9110
Cl 0.3678 0.7500 0.0890
Cl 0.4894 0.7500 0.5671
Ag 0.1513 0.2500 0.5131
Ag 0.8487 0.7500 0.4869
Mn 0.7615 0.2500 0.6778
Mn 0.2385 0.7500 0.3222



! Mn2In3AgCl9 (PBE, optimized geometry); values from VASP
! **DFT total energy**: -3.926 eV per atom
! **Theoretical density**: 3.8 g cm⁻³
! **Uncorrected formation energy**: -858 meV/atom
! **Space-group type**: No. 164
&SYSTEM
  ibrav = 0, nat = 15, ntyp = 4
/
ATOMIC_SPECIES
In 114.82 In.upf
Mn 54.94 Mn.upf
Cl 35.45 Cl.upf
Ag 107.87 Ag.upf
CELL_PARAMETERS angstrom
7.1328 0.0000 0.0000
-3.5664 6.1772 0.0000
0.0000 0.0000 8.7716
ATOMIC_POSITIONS crystal
In 0.0000 0.0000 0.0000
In 0.3333 0.6667 0.6379
In 0.6667 0.3333 0.3621
Mn 0.6667 0.3333 0.8377
Mn 0.3333 0.6667 0.1623
Cl 0.6526 0.8263 0.3208
Cl 0.8263 0.1737 0.6792
Cl 0.8263 0.6526 0.6792
Cl 0.3474 0.1737 0.6792
Cl 0.1737 0.8263 0.3208
Cl 0.5000 0.0000 0.0000
Cl 0.0000 0.5000 0.0000
Cl 0.1737 0.3474 0.3208
Cl 0.5000 0.5000 0.0000
Ag 0.0000 0.0000 0.5000



! MnInAgCl6 (PBE, optimized geometry); values from VASP
! **DFT total energy**: -3.782 eV per atom
! **Theoretical density**: 3.6 g cm⁻³
! **Uncorrected formation energy**: -911 meV/atom
! **Space-group type**: No. 102
&SYSTEM
  ibrav = 0, nat = 18, ntyp = 4
/
ATOMIC_SPECIES
Cl 35.45 Cl.upf
Mn 54.94 Mn.upf
In 114.82 In.upf
Ag 107.87 Ag.upf
CELL_PARAMETERS angstrom
-2.1487 -4.7860 -3.3556
5.6767 -0.8566 -2.4132
2.5933 -7.2443 8.6717
ATOMIC_POSITIONS crystal
Cl 0.7034 0.7034 0.3440
Cl 0.2044 0.7956 0.4909
Cl 0.7956 0.2044 0.4909
Cl 0.1854 0.8146 0.1649
Cl 0.3146 0.3146 0.6649
Cl 0.2966 0.2966 0.3440
Cl 0.2956 0.2956 0.9909
Cl 0.7044 0.7044 0.9909
Cl 0.2034 0.7966 0.8440
Cl 0.8146 0.1854 0.1649
Cl 0.7966 0.2034 0.8440
Cl 0.6854 0.6854 0.6649
Mn 0.0000 0.0000 0.9981
Mn 0.5000 0.5000 0.4981
In 0.0000 0.0000 0.3347
In 0.5000 0.5000 0.8347
Ag 0.5000 0.5000 0.1677
Ag 0.0000 0.0000 0.6677



! Mn2In3AgCl8 (PBE, optimized geometry); values from VASP
! **DFT total energy**: -4.003 eV per atom
! **Theoretical density**: 3.3 g cm⁻³
! **Uncorrected formation energy**: -848 meV/atom
! **Space-group type**: No. 164
&SYSTEM
  ibrav = 0, nat = 14, ntyp = 4
/
ATOMIC_SPECIES
Cl 35.45 Cl.upf
Mn 54.94 Mn.upf
In 114.82 In.upf
Ag 107.87 Ag.upf
CELL_PARAMETERS angstrom
7.3543 0.0000 0.0000
-3.6771 6.3690 0.0000
0.0000 0.0000 9.0117
ATOMIC_POSITIONS crystal
Cl 0.6745 0.8372 0.2991
Cl 0.3255 0.1628 0.7009
Cl 0.3333 0.6667 0.9435
Cl 0.1628 0.3255 0.2991
Cl 0.6667 0.3333 0.0565
Cl 0.8372 0.1628 0.7009
Cl 0.8372 0.6745 0.7009
Cl 0.1628 0.8372 0.2991
Mn 0.6667 0.3333 0.7994
Mn 0.3333 0.6667 0.2006
In 0.6667 0.3333 0.3692
In 0.0000 0.0000 0.0000
In 0.3333 0.6667 0.6308
Ag 0.0000 0.0000 0.5000



! NaInAg2Cl6 (PBE, optimized geometry); values from VASP
! **DFT total energy**: -3.056 eV per atom
! **Theoretical density**: 3.7 g cm⁻³
! **Uncorrected formation energy**: -972 meV/atom
! **Space-group type**: No. 1
&SYSTEM
  ibrav = 0, nat = 10, ntyp = 4
/
ATOMIC_SPECIES
Ag 107.87 Ag.upf
Cl 35.45 Cl.upf
In 114.82 In.upf
Na 22.99 Na.upf
CELL_PARAMETERS angstrom
-6.0677 2.9118 1.4555
-2.8438 -0.8725 6.2079
-0.0751 5.7108 4.5912
ATOMIC_POSITIONS crystal
Ag 0.5279 0.5271 0.4168
Ag 0.0170 0.0178 0.9483
Cl 0.2262 0.9484 0.2527
Cl 0.7043 0.1153 0.7704
Cl 0.5732 0.2259 0.2522
Cl 0.9483 0.5727 0.2530
Cl 0.4096 0.7044 0.7705
Cl 0.1155 0.4103 0.7705
In 0.3241 0.3241 0.0277
Na 0.8154 0.8156 0.5531